First-principles (PBE-GGA) data for a relaxed structure of Pd2O, as listed in the Alexandria database.

Results
formation energy without anion corrections	-0.4	eV/f.u.

abc: 4.5423 4.5423 4.5423
angles: 90.00 90.00 90.00
Closest atoms and distances in Å follow each position.
Fractional positions:
1 Pd 0.2500 0.2500 0.7500  2 O 1.97
2 Pd 0.7500 0.2500 0.2500  2 O 1.97
3 Pd 0.2500 0.7500 0.2500  2 O 1.97
4 Pd 0.7500 0.7500 0.7500  2 O 1.97
5 O 0.0000 0.0000 0.0000  4 Pd 1.97
6 O 0.5000 0.5000 0.5000  4 Pd 1.97